Material: LaAgP2
Method: DFT, GGA-PBE
State: optimized geometry

Summary:
Calculated density, Mg/m³: 6.1
Formation energy, eV/atom: -0.3665
Total magnetic moment, μB per formula unit: 0.0

a b c (Å): 5.6758 5.6758 5.6758
angles (deg): 137.07 137.07 62.33
Closest atoms and distances in Å follow each position.
Positions (direct):
Ag 0.5000 0.5000 0.0000  8 P 2.94-3.20, 4 La 3.20
La 0.7500 0.2500 0.5000  8 P 2.94-3.20, 4 Ag 3.20
P 0.0000 0.0000 0.0000  4 Ag 2.94, 4 P 3.20, 4 La 3.20
P 0.2500 0.7500 0.5000  4 La 2.94, 4 P 3.20, 4 Ag 3.20

Material: La2AgP
Method: DFT, GGA-PBE
State: optimized geometry

Summary:
Calculated density, Mg/m³: 6.5
Formation energy, eV/atom: -0.7683
Total magnetic moment, μB per formula unit: 0.4

a b c (Å): 6.0722 6.0722 4.3829
angles (deg): 90.00 90.00 41.01
Closest atoms and distances in Å follow each position.
Positions (direct):
Ag 0.6997 0.6997 0.8749  2 P 2.85, 4 La 3.16
La 0.9890 0.9890 0.8751  4 P 3.11, 3 Ag 3.20-3.29
La 0.2721 0.2721 0.3750  3 P 3.04-3.40, 4 Ag 3.16
P 0.5392 0.5392 0.3750  2 Ag 2.85, 5 La 3.04-3.11

Material: La2AgP4Pd3
Method: DFT, GGA-PBE
State: optimized geometry

Summary:
Calculated density, Mg/m³: 7.4
Formation energy, eV/atom: -0.8838
Total magnetic moment, μB per formula unit: 0.0

a b c (Å): 4.3696 4.3696 9.7430
angles (deg): 90.00 90.00 90.00
Closest atoms and distances in Å follow each position.
Positions (direct):
La 0.5000 0.0000 0.2411  8 P 3.21-3.30, 7 Pd 3.34-3.42, 2 Ag 3.34
La 0.0000 0.5000 0.7589  8 P 3.21-3.30, 7 Pd 3.34-3.42, 2 Ag 3.34
Ag 0.5000 0.5000 0.5000  4 P 2.58
P 0.5000 0.5000 0.0000  4 Pd 2.43
P 0.0000 0.0000 0.0000  4 Pd 2.43
P 0.5000 0.0000 0.6408  3 Pd 2.43-2.58, 2 Ag 2.58
P 0.0000 0.5000 0.3592  3 Pd 2.43-2.58, 2 Ag 2.58
Pd 0.0000 0.0000 0.5000  4 P 2.58
Pd 0.5000 0.0000 0.8904  5 P 2.43
Pd 0.0000 0.5000 0.1096  5 P 2.43

Material: LaPmAgP
Method: DFT, GGA-PBE
State: optimized geometry

Summary:
Calculated density, Mg/m³: 7.1
Formation energy, eV/atom: -0.6303
Total magnetic moment, μB per formula unit: 0.0

a b c (Å): 5.1820 5.1820 5.1820
angles (deg): 60.00 60.00 60.00
Closest atoms and distances in Å follow each position.
Positions (direct):
P 0.2500 0.2500 0.2500  4 La 3.17, 4 Pm 3.17
La 0.5000 0.5000 0.5000  4 Ag 3.17, 4 P 3.17
Ag 0.7500 0.7500 0.7500  4 Pm 3.17, 4 La 3.17
Pm 0.0000 0.0000 0.0000  4 Ag 3.17, 4 P 3.17

Material: La2AgP3Pt12
Method: DFT, GGA-PBE
State: optimized geometry

Summary:
Calculated density, Mg/m³: 13.0
Formation energy, eV/atom: -0.3878
Total magnetic moment, μB per formula unit: 0.0

a b c (Å): 7.6692 7.6692 7.6692
angles (deg): 65.86 65.86 65.86
Closest atoms and distances in Å follow each position.
Positions (direct):
La 0.6122 0.6122 0.6122  6 Pt 2.88-3.10
La 0.3878 0.3878 0.3878  6 Pt 2.88-3.10
Ag 0.0000 0.0000 0.0000  6 Pt 2.58
P 0.5000 0.0000 0.0000  6 Pt 2.27-2.33
P 0.0000 0.5000 0.0000  6 Pt 2.27-2.33
P 0.0000 0.0000 0.5000  6 Pt 2.27-2.33
Pt 0.3402 0.3402 0.8980  2 P 2.33
Pt 0.8681 0.8681 0.3834  1 P 2.27
Pt 0.3834 0.8681 0.8681  1 P 2.27
Pt 0.8980 0.3402 0.3402  2 P 2.33
Pt 0.8681 0.3834 0.8681  1 P 2.27
Pt 0.3402 0.8980 0.3402  2 P 2.33
Pt 0.6598 0.6598 0.1020  2 P 2.33
Pt 0.1319 0.1319 0.6166  1 P 2.27
Pt 0.6166 0.1319 0.1319  1 P 2.27
Pt 0.1020 0.6598 0.6598  2 P 2.33
Pt 0.1319 0.6166 0.1319  1 P 2.27
Pt 0.6598 0.1020 0.6598  2 P 2.33

Material: RbLaAgP2
Method: DFT, GGA-PBE
State: optimized geometry

Summary:
Calculated density, Mg/m³: 4.3
Formation energy, eV/atom: 0.9156
Total magnetic moment, μB per formula unit: 0.0

a b c (Å): 5.3901 5.2510 5.3901
angles (deg): 90.00 90.00 90.00
Closest atoms and distances in Å follow each position.
Positions (direct):
P 0.0000 0.0000 0.5000  2 Rb 2.70
P 0.5000 0.0000 0.0000  2 Rb 2.70
Rb 0.0000 0.0000 0.0000  2 Ag 2.63, 4 P 2.70
Ag 0.0000 0.5000 0.0000  2 Rb 2.63
La 0.5000 0.5000 0.5000  8 P 3.76, 4 Ag 3.81